{"formula": "ThSiAg", "functional": "PBE-GGA", "state": "relaxed", "lattice": [[4.354, 0.000, 0.000], [-2.177, 3.771, 0.000], [0.000, 0.000, 4.122]], "species": ["Th", "Si", "Ag"], "frac_coords": [[0.000, 0.000, 0.000], [0.667, 0.333, 0.500], [0.333, 0.667, 0.500]], "volume_a3_per_atom": 22.56, "formation_energy_uncorrected_mev_per_atom": -438, "m_tot_mub_per_cell": 0.00, "total_energy_ev_per_atom": -5.67}